Compound: Na13Sr2
Source: the Alexandria database
Functional: GGA-PBE
Structure: optimized geometry

```
data_Na13Sr2
_chemical_formula_sum 'Na39 Sr6'
_symmetry_space_group_name_H-M 'R -3 m'
_symmetry_Int_Tables_number 166
_symmetry_space_group_name_Hall '-R 3 2"'
_cell_length_a 9.3099
_cell_length_b 9.3099
_cell_length_c 24.6950
_cell_angle_alpha 90.00
_cell_angle_beta 90.00
_cell_angle_gamma 120.00
loop_
_atom_site_label
_atom_site_type_symbol
_atom_site_fract_x
_atom_site_fract_y
_atom_site_fract_z
Na1 Na 0.0000 0.0000 0.0000
Na2 Na 0.0735 0.5368 0.3742
Na3 Na 0.0878 0.5439 0.2309
Sr1 Sr 0.0000 0.0000 0.1620
```

Properties
The value obtained for the total magnetization is 0.00 Bohr magnetons per cell. As for the calculated total energy: -1.284 eV per atom.



Compound: Na6Sr5
Source: the Alexandria database
Functional: GGA-PBE
Structure: optimized geometry

```
data_Na6Sr5
_chemical_formula_sum 'Na12 Sr10'
_symmetry_space_group_name_H-M 'C 1 2/m 1'
_symmetry_Int_Tables_number 12
_cell_length_a 11.101
_cell_length_b 17.579
_cell_length_c 6.461
_cell_angle_alpha 90.00
_cell_angle_beta 125.49
_cell_angle_gamma 90.00
loop_
_symmetry_equiv_pos_as_xyz
'x,y,z'
'-x,-y,-z'
'-x,y,-z'
'x,-y,z'
'x+1/2,y+1/2,z'
'-x+1/2,-y+1/2,-z'
'-x+1/2,y+1/2,-z'
'x+1/2,-y+1/2,z'
loop_
_atom_site_label
_atom_site_type_symbol
_atom_site_fract_x
_atom_site_fract_y
_atom_site_fract_z
Na1 Na 0.190 0.000 0.192
Na2 Na 0.190 0.135 0.690
Sr1 Sr 0.000 0.212 0.000
Sr2 Sr 0.000 0.352 0.500
Sr3 Sr 0.000 0.500 0.000
```

Properties
The value obtained for the total magnetization is 0.00 Bohr magnetons per cell. As for the calculated total energy: -1.417 eV per atom.



Compound: Na5Sr4
Source: the Alexandria database
Functional: GGA-PBE
Structure: optimized geometry

```
data_Na5Sr4
_chemical_formula_sum 'Na10 Sr8'
_symmetry_space_group_name_H-M 'I 4/m m m'
_symmetry_Int_Tables_number 139
_symmetry_space_group_name_Hall '-I 4 2'
_cell_length_a 11.822
_cell_length_b 11.822
_cell_length_c 5.879
_cell_angle_alpha 90.00
_cell_angle_beta 90.00
_cell_angle_gamma 90.00
loop_
_atom_site_label
_atom_site_type_symbol
_atom_site_fract_x
_atom_site_fract_y
_atom_site_fract_z
Na1 Na 0.000 0.000 0.000
Na2 Na 0.159 0.159 0.500
Sr1 Sr 0.000 0.319 0.000
```

Properties
The value obtained for the total magnetization is 0.00 Bohr magnetons per cell. As for the calculated total energy: -1.438 eV per atom.



Compound: Na5Sr7
Source: the Alexandria database
Functional: GGA-PBE
Structure: optimized geometry

```
data_Na5Sr7
_chemical_formula_sum 'Na10 Sr14'
_symmetry_space_group_name_H-M 'C 1 2/m 1'
_symmetry_Int_Tables_number 12
_cell_length_a 11.136
_cell_length_b 6.413
_cell_length_c 16.807
_cell_angle_alpha 90.00
_cell_angle_beta 102.98
_cell_angle_gamma 90.00
loop_
_symmetry_equiv_pos_as_xyz
'x,y,z'
'-x,-y,-z'
'-x,y,-z'
'x,-y,z'
'x+1/2,y+1/2,z'
'-x+1/2,-y+1/2,-z'
'-x+1/2,y+1/2,-z'
'x+1/2,-y+1/2,z'
loop_
_atom_site_label
_atom_site_type_symbol
_atom_site_fract_x
_atom_site_fract_y
_atom_site_fract_z
Na1 Na 0.000 0.000 0.000
Na2 Na 0.101 0.500 0.803
Na3 Na 0.146 0.000 0.438
Sr1 Sr 0.000 0.500 0.500
Sr2 Sr 0.072 0.000 0.215
Sr3 Sr 0.190 0.500 0.071
Sr4 Sr 0.221 0.000 0.664
```

Properties
The value obtained for the total magnetization is 0.00 Bohr magnetons per cell. For the excess energy over the best structure of this formula in the dataset, the calculation gives 0.037 eV/atom. As for the calculated total energy: -1.452 eV per atom.



Question: Which formula does entry 3 have?
Answer: Na5Sr4



Question: Among the records above, which one has the highest calculated total energy?
Answer: Na13Sr2



Question: The lowest calculated total energy belongs to which entry?
Answer: Na5Sr7